P:
## SrPuSn (PBE)

Data for a relaxed structure of SrPuSn.

The structure in POSCAR format:
```
SrPuSn
1.0
5.3412 0.0000 0.0000
0.0000 5.3412 0.0000
0.0000 0.0000 7.9203
Sr Pu Sn
2 2 2
Direct
0.2500 0.7500 0.0000 Sr
0.7500 0.2500 0.0000 Sr
0.2500 0.7500 0.5000 Pu
0.7500 0.2500 0.5000 Pu
0.2500 0.2500 0.2628 Sn
0.7500 0.7500 0.7372 Sn
```

Output
spin magnetization = 6.003 μB per formula unit
SG = P4/nmm



Q:
## SrPuSn (PBE)

Data for a relaxed structure of SrPuSn.

The structure in POSCAR format:
```
SrPuSn
1.0
5.4720 0.0000 0.0000
-2.7360 4.7389 0.0000
0.0000 0.0000 3.6875
Sr Pu Sn
1 1 1
Direct
0.0000 0.0000 0.0000 Sr
0.3333 0.6667 0.5737 Pu
0.6667 0.3333 0.3769 Sn
```

Output
spin magnetization = 6.239 μB per formula unit
SG = P3m1



Need the numbers? Relative energies in kJ/mol of atoms: P 0.0; Q 6.5.



P:
## PuTcSn (PBE)

Data for a relaxed structure of PuTcSn.

The structure in POSCAR format:
```
PuTcSn
1.0
4.6987 0.0000 0.0000
-2.3493 4.0692 0.0000
0.0000 0.0000 3.4342
Pu Tc Sn
1 1 1
Direct
0.0000 0.0000 0.0000 Pu
0.6667 0.3333 0.5000 Tc
0.3333 0.6667 0.5000 Sn
```

Output
spin magnetization = 4.144 μB per formula unit
SG = P-6m2



Q:
## PuTcSn (PBE)

Data for a relaxed structure of PuTcSn.

The structure in POSCAR format:
```
PuTcSn
1.0
-1.6566 1.6566 5.7415
1.6566 -1.6566 5.7415
1.6566 1.6566 -5.7415
Pu Tc Sn
1 1 1
Direct
0.0000 0.0000 0.0000 Pu
0.6556 0.6556 0.0000 Tc
0.2893 0.2893 0.0000 Sn
```

Output
spin magnetization = 4.637 μB per formula unit
SG = I4mm



R:
## PuTcSn (PBE)

Data for a relaxed structure of PuTcSn.

The structure in POSCAR format:
```
PuTcSn
1.0
2.2772 -5.9923 0.0000
2.2772 5.9923 0.0000
0.0000 0.0000 4.6300
Pu Tc Sn
2 2 2
Direct
0.0968 0.9032 0.7500 Pu
0.9032 0.0968 0.2500 Pu
0.2455 0.7545 0.2500 Tc
0.7545 0.2455 0.7500 Tc
0.3819 0.6181 0.7500 Sn
0.6181 0.3819 0.2500 Sn
```

Output
spin magnetization = 4.930 μB per formula unit
SG = Cmcm



S:
## PuTcSn (PBE)

Data for a relaxed structure of PuTcSn.

The structure in POSCAR format:
```
PuTcSn
1.0
4.9387 -1.6656 0.0000
4.9387 1.6656 0.0000
-0.2911 0.0000 7.2491
Pu Tc Sn
2 2 2
Direct
0.1780 0.1780 0.4420 Pu
0.8220 0.8220 0.5580 Pu
0.2839 0.2839 0.8678 Tc
0.7161 0.7161 0.1322 Tc
0.4437 0.4437 0.2072 Sn
0.5563 0.5563 0.7928 Sn
```

Output
spin magnetization = 0.000 μB per formula unit
SG = C2/m



Need the numbers? Relative energies in kJ/mol of atoms: P 28.2; Q 14.1; R 0.0; S 30.6.



P:
## PuTcSn2 (PBE)

Data for a relaxed structure of PuTcSn2.

The structure in POSCAR format:
```
PuTcSn2
1.0
2.3056 1.3311 4.9154
-2.3056 1.3311 4.9154
0.0000 -2.6622 4.9154
Pu Tc Sn
1 1 2
Direct
0.0000 0.0000 0.0000 Pu
0.5000 0.5000 0.5000 Tc
0.2268 0.2268 0.2268 Sn
0.7732 0.7732 0.7732 Sn
```

Output
spin magnetization = 4.913 μB per formula unit
SG = R-3m



Q:
## PuTcSn2 (PBE)

Data for a relaxed structure of PuTcSn2.

The structure in POSCAR format:
```
PuTcSn2
1.0
3.3404 0.0000 0.0000
0.0000 3.3404 0.0000
0.0000 0.0000 7.6667
Pu Tc Sn
1 1 2
Direct
0.0000 0.0000 0.0000 Pu
0.0000 0.0000 0.5000 Tc
0.5000 0.5000 0.2967 Sn
0.5000 0.5000 0.7033 Sn
```

Output
spin magnetization = 6.147 μB per formula unit
SG = P4/mmm



Need the numbers? Relative energies in kJ/mol of atoms: P 13.6; Q 0.0.



P:
## Pu2SnTe (PBE)

Data for a relaxed structure of Pu2SnTe.

The structure in POSCAR format:
```
Pu2SnTe
1.0
0.0000 3.7749 3.7749
3.7749 0.0000 3.7749
3.7749 3.7749 0.0000
Pu Sn Te
2 1 1
Direct
0.2500 0.2500 0.2500 Pu
0.7500 0.7500 0.7500 Pu
0.0000 0.0000 0.0000 Sn
0.5000 0.5000 0.5000 Te
```

Output
spin magnetization = 11.111 μB per formula unit
SG = Fm-3m



Q:
## Pu2SnTe (PBE)

Data for a relaxed structure of Pu2SnTe.

The structure in POSCAR format:
```
Pu2SnTe
1.0
3.6010 0.0000 0.0000
0.0000 3.6010 0.0000
0.0000 0.0000 8.2926
Pu Sn Te
2 1 1
Direct
0.0000 0.0000 0.2398 Pu
0.0000 0.0000 0.7602 Pu
0.5000 0.5000 0.5000 Sn
0.5000 0.5000 0.0000 Te
```

Output
spin magnetization = 11.539 μB per formula unit
SG = P4/mmm



Need the numbers? Relative energies in kJ/mol of atoms: P 12.1; Q 0.0.



P:
## Pu2SnTe4 (PBE)

Data for a relaxed structure of Pu2SnTe4.

The structure in POSCAR format:
```
Pu2SnTe4
1.0
7.8726 0.0000 0.0000
0.0000 12.6013 0.0000
0.0000 0.0000 4.6393
Pu Sn Te
4 2 8
Direct
0.0953 0.1858 0.0000 Pu
0.4047 0.6858 0.0000 Pu
0.5953 0.3142 0.0000 Pu
0.9047 0.8142 0.0000 Pu
0.0000 0.5000 0.5000 Sn
0.5000 0.0000 0.5000 Sn
0.1356 0.7230 0.5000 Te
0.2478 0.9495 0.0000 Te
0.2522 0.4495 0.0000 Te
0.3644 0.2230 0.5000 Te
0.6356 0.7770 0.5000 Te
0.7478 0.5505 0.0000 Te
0.7522 0.0505 0.0000 Te
0.8644 0.2770 0.5000 Te
```

Output
spin magnetization = 10.477 μB per formula unit
SG = Pbam



Q:
## Pu2SnTe4 (PBE)

Data for a relaxed structure of Pu2SnTe4.

The structure in POSCAR format:
```
Pu2SnTe4
1.0
8.0604 -2.2476 0.0000
8.0604 2.2476 0.0000
-3.6736 0.0000 6.8326
Pu Sn Te
2 1 4
Direct
0.2482 0.2482 0.2393 Pu
0.7518 0.7518 0.7607 Pu
0.0000 0.0000 0.0000 Sn
0.1265 0.1265 0.7852 Te
0.3719 0.3719 0.6948 Te
0.6281 0.6281 0.3052 Te
0.8735 0.8735 0.2148 Te
```

Output
spin magnetization = 9.997 μB per formula unit
SG = C2/m



Need the numbers? Relative energies in kJ/mol of atoms: P 1.2; Q 0.0.



P:
## PuTh2Sn (PBE)

Data for a relaxed structure of PuTh2Sn.

The structure in POSCAR format:
```
PuTh2Sn
1.0
0.0000 3.8395 3.8395
3.8395 0.0000 3.8395
3.8395 3.8395 0.0000
Pu Th Sn
1 2 1
Direct
0.0000 0.0000 0.0000 Pu
0.2500 0.2500 0.2500 Th
0.7500 0.7500 0.7500 Th
0.5000 0.5000 0.5000 Sn
```

Output
spin magnetization = 6.780 μB per formula unit
SG = Fm-3m



Q:
## PuTh2Sn (PBE)

Data for a relaxed structure of PuTh2Sn.

The structure in POSCAR format:
```
PuTh2Sn
1.0
4.0650 0.0000 0.0000
0.0000 4.0650 0.0000
0.0000 0.0000 7.0140
Pu Th Sn
1 2 1
Direct
0.0000 0.0000 0.0000 Pu
0.5000 0.5000 0.2585 Th
0.5000 0.5000 0.7415 Th
0.0000 0.0000 0.5000 Sn
```

Output
spin magnetization = 6.440 μB per formula unit
SG = P4/mmm



Need the numbers? Relative energies in kJ/mol of atoms: P 1.9; Q 0.0.



P:
## PuTh2Sn (PBE)

Data for a relaxed structure of PuTh2Sn.

The structure in POSCAR format:
```
PuTh2Sn
1.0
1.7638 1.0183 11.1577
-1.7638 1.0183 11.1577
0.0000 -2.0367 11.1577
Pu Th Sn
1 2 1
Direct
0.0000 0.0000 0.0000 Pu
0.2484 0.2484 0.2484 Th
0.7516 0.7516 0.7516 Th
0.5000 0.5000 0.5000 Sn
```

Output
spin magnetization = 5.984 μB per formula unit
SG = R-3m



Q:
## PuTh2Sn (PBE)

Data for a relaxed structure of PuTh2Sn.

The structure in POSCAR format:
```
PuTh2Sn
1.0
4.9657 0.0000 0.0000
0.0000 4.9657 0.0000
0.0000 0.0000 4.6083
Pu Th Sn
1 2 1
Direct
0.0000 0.0000 0.0000 Pu
0.0000 0.5000 0.5000 Th
0.5000 0.0000 0.5000 Th
0.5000 0.5000 0.0000 Sn
```

Output
spin magnetization = 6.252 μB per formula unit
SG = P4/mmm



Need the numbers? Relative energies in kJ/mol of atoms: P 28.0; Q 0.0.



P:
## PuTiSn (PBE)

Data for a relaxed structure of PuTiSn.

The structure in POSCAR format:
```
PuTiSn
1.0
4.9097 0.0000 0.0000
-2.4549 4.2520 0.0000
0.0000 0.0000 3.3414
Pu Ti Sn
1 1 1
Direct
0.0000 0.0000 0.0000 Pu
0.6667 0.3333 0.5000 Ti
0.3333 0.6667 0.5000 Sn
```

Output
spin magnetization = 5.552 μB per formula unit
SG = P-6m2



Q:
## PuTiSn (PBE)

Data for a relaxed structure of PuTiSn.

The structure in POSCAR format:
```
PuTiSn
1.0
1.6940 -10.1867 0.0000
1.6940 10.1867 0.0000
0.0000 0.0000 3.5310
Pu Ti Sn
2 2 2
Direct
0.0369 0.9631 0.7500 Pu
0.9631 0.0369 0.2500 Pu
0.2154 0.7846 0.7500 Ti
0.7846 0.2154 0.2500 Ti
0.3593 0.6407 0.7500 Sn
0.6407 0.3593 0.2500 Sn
```

Output
spin magnetization = 1.145 μB per formula unit
SG = Cmcm



Need the numbers? Relative energies in kJ/mol of atoms: P 0.9; Q 0.0.



P:
## PuTi2Sn (PBE)

Data for a relaxed structure of PuTi2Sn.

The structure in POSCAR format:
```
PuTi2Sn
1.0
3.4451 0.0000 0.0000
0.0000 3.4451 0.0000
0.0000 0.0000 6.6163
Pu Ti Sn
1 2 1
Direct
0.0000 0.0000 0.0000 Pu
0.5000 0.5000 0.2528 Ti
0.5000 0.5000 0.7472 Ti
0.0000 0.0000 0.5000 Sn
```

Output
spin magnetization = 5.181 μB per formula unit
SG = P4/mmm



Q:
## PuTi2Sn (PBE)

Data for a relaxed structure of PuTi2Sn.

The structure in POSCAR format:
```
PuTi2Sn
1.0
4.5026 0.0000 0.0000
0.0000 4.5026 0.0000
0.0000 0.0000 3.9252
Pu Ti Sn
1 2 1
Direct
0.0000 0.0000 0.0000 Pu
0.0000 0.5000 0.5000 Ti
0.5000 0.0000 0.5000 Ti
0.5000 0.5000 0.0000 Sn
```

Output
spin magnetization = 5.738 μB per formula unit
SG = P4/mmm



R:
## PuTi2Sn (PBE)

Data for a relaxed structure of PuTi2Sn.

The structure in POSCAR format:
```
PuTi2Sn
1.0
1.5852 0.9152 9.4185
-1.5852 0.9152 9.4185
0.0000 -1.8305 9.4185
Pu Ti Sn
1 2 1
Direct
0.0000 0.0000 0.0000 Pu
0.2498 0.2498 0.2498 Ti
0.7502 0.7502 0.7502 Ti
0.5000 0.5000 0.5000 Sn
```

Output
spin magnetization = 5.011 μB per formula unit
SG = R-3m



S:
## PuTi2Sn (PBE)

Data for a relaxed structure of PuTi2Sn.

The structure in POSCAR format:
```
PuTi2Sn
1.0
0.0000 3.4081 3.4081
3.4081 0.0000 3.4081
3.4081 3.4081 0.0000
Pu Ti Sn
1 2 1
Direct
0.0000 0.0000 0.0000 Pu
0.2500 0.2500 0.2500 Ti
0.7500 0.7500 0.7500 Ti
0.5000 0.5000 0.5000 Sn
```

Output
spin magnetization = 7.090 μB per formula unit
SG = Fm-3m



Need the numbers? Relative energies in kJ/mol of atoms: P 11.9; Q 0.0; R 22.8; S 2.4.



P:
## PuTlSn (PBE)

Data for a relaxed structure of PuTlSn.

The structure in POSCAR format:
```
PuTlSn
1.0
5.4022 0.0000 0.0000
-2.7011 4.6785 0.0000
0.0000 0.0000 3.1861
Pu Tl Sn
1 1 1
Direct
0.0000 0.0000 0.0000 Pu
0.3333 0.6667 0.4990 Tl
0.6667 0.3333 0.5006 Sn
```

Output
spin magnetization = 5.896 μB per formula unit
SG = P3m1



Q:
## PuTlSn (PBE)

Data for a relaxed structure of PuTlSn.

The structure in POSCAR format:
```
PuTlSn
1.0
4.5590 0.0000 0.0000
0.0000 4.5590 0.0000
0.0000 0.0000 8.2923
Pu Tl Sn
2 2 2
Direct
0.2500 0.2500 0.1751 Pu
0.7500 0.7500 0.8249 Pu
0.2500 0.7500 0.5000 Tl
0.7500 0.2500 0.5000 Tl
0.2500 0.2500 0.7964 Sn
0.7500 0.7500 0.2036 Sn
```

Output
spin magnetization = 5.958 μB per formula unit
SG = P4/nmm



R:
## PuTlSn (PBE)

Data for a relaxed structure of PuTlSn.

The structure in POSCAR format:
```
PuTlSn
1.0
-1.7895 1.7895 6.3949
1.7895 -1.7895 6.3949
1.7895 1.7895 -6.3949
Pu Tl Sn
1 1 1
Direct
0.0000 0.0000 0.0000 Pu
0.3229 0.3229 0.0000 Tl
0.6653 0.6653 0.0000 Sn
```

Output
spin magnetization = 6.306 μB per formula unit
SG = I4mm



Need the numbers? Relative energies in kJ/mol of atoms: P 0.0; Q 7.5; R 2.2.



P:
## PuTl2Sn (PBE)

Data for a relaxed structure of PuTl2Sn.

The structure in POSCAR format:
```
PuTl2Sn
1.0
3.9710 0.0000 0.0000
0.0000 3.9710 0.0000
0.0000 0.0000 7.0467
Pu Tl Sn
1 2 1
Direct
0.0000 0.0000 0.0000 Pu
0.5000 0.5000 0.2636 Tl
0.5000 0.5000 0.7364 Tl
0.0000 0.0000 0.5000 Sn
```

Output
spin magnetization = 6.314 μB per formula unit
SG = P4/mmm



Q:
## PuTl2Sn (PBE)

Data for a relaxed structure of PuTl2Sn.

The structure in POSCAR format:
```
PuTl2Sn
1.0
4.6722 0.0000 0.0000
0.0000 4.6722 0.0000
0.0000 0.0000 4.8956
Pu Tl Sn
1 2 1
Direct
0.0000 0.0000 0.0000 Pu
0.0000 0.5000 0.5000 Tl
0.5000 0.0000 0.5000 Tl
0.5000 0.5000 0.0000 Sn
```

Output
spin magnetization = 5.691 μB per formula unit
SG = P4/mmm



Need the numbers? Relative energies in kJ/mol of atoms: P 16.6; Q 0.0.